A relaxed PmSi4Ni2 crystal, computed with PBE.

Structure (CIF):
```
data_PmSi4Ni2
_space_group_name_H-M_alt 'P 1'
_space_group_IT_number 1
_cell_length_a 7.4918
_cell_length_b 7.4918
_cell_length_c 3.7853
_cell_angle_alpha 90.00
_cell_angle_beta 90.00
_cell_angle_gamma 90.00
loop_
_space_group_symop_operation_xyz
'x,y,z'
loop_
_atom_site_label
_atom_site_type_symbol
_atom_site_fract_x
_atom_site_fract_y
_atom_site_fract_z
Pm1 Pm 0.0000 0.0000 0.0000
Pm2 Pm 0.5000 0.5000 0.5000
Si1 Si 0.0823 0.3201 0.5000
Si2 Si 0.1799 0.5823 0.0000
Si3 Si 0.3201 0.0823 0.5000
Si4 Si 0.4177 0.8201 0.0000
Si5 Si 0.5823 0.1799 0.0000
Si6 Si 0.6799 0.9177 0.5000
Si7 Si 0.8201 0.4177 0.0000
Si8 Si 0.9177 0.6799 0.5000
Ni1 Ni 0.2153 0.7847 0.5000
Ni2 Ni 0.2847 0.2847 0.0000
Ni3 Ni 0.7153 0.7153 0.0000
Ni4 Ni 0.7847 0.2153 0.5000
```

Properties
space-group type	No. 136
total magnetic moment	0.00	Bohr magnetons per cell



A relaxed Pm3SiNi3 crystal, computed with PBE.

Structure (CIF):
```
data_Pm3SiNi3
_space_group_name_H-M_alt 'P 1'
_space_group_IT_number 1
_cell_length_a 8.2985
_cell_length_b 8.2985
_cell_length_c 5.5583
_cell_angle_alpha 90.00
_cell_angle_beta 90.00
_cell_angle_gamma 120.00
loop_
_space_group_symop_operation_xyz
'x,y,z'
loop_
_atom_site_label
_atom_site_type_symbol
_atom_site_fract_x
_atom_site_fract_y
_atom_site_fract_z
Pm1 Pm 0.0608 0.6965 0.2500
Pm2 Pm 0.3035 0.3643 0.2500
Pm3 Pm 0.3643 0.0608 0.7500
Pm4 Pm 0.6357 0.9392 0.2500
Pm5 Pm 0.6965 0.6357 0.7500
Pm6 Pm 0.9392 0.3035 0.7500
Si1 Si 0.3333 0.6667 0.7500
Si2 Si 0.6667 0.3333 0.2500
Ni1 Ni 0.0737 0.6887 0.7500
Ni2 Ni 0.3113 0.3850 0.7500
Ni3 Ni 0.3850 0.0737 0.2500
Ni4 Ni 0.6150 0.9263 0.7500
Ni5 Ni 0.6887 0.6150 0.2500
Ni6 Ni 0.9263 0.3113 0.2500
```

Properties
space-group type	No. 176
total magnetic moment	0.00	Bohr magnetons per cell



What are the energy relative to the elements, uncorrected values for these records? In order: -0.396; -0.197 eV/atom.